Arrangement a

# TaNb6In

An optimized crystal structure of TaNb6In (GGA-PBE, Alexandria via LeMat-Bulk).

Unit cell a=2.7243 b=5.0221 c=11.1625 alpha=90.00 beta=90.00 gamma=90.00
Space group Pmmm (No. 47)
Symmetry-distinct sites (fractional):
1 Ta 0.0000 0.0000 0.0000 x1
2 Nb 0.0000 0.5000 0.3644 x2
3 Nb 0.5000 0.0000 0.2520 x2
4 Nb 0.5000 0.5000 0.1231 x2
5 In 0.0000 0.0000 0.5000 x1

---

Arrangement b

# TaNb6In

An optimized crystal structure of TaNb6In (GGA-PBE, Alexandria via LeMat-Bulk).

Unit cell a=7.5110 b=7.5110 c=9.2086 alpha=90.00 beta=90.00 gamma=120.00
Space group R-3 (No. 148, hexagonal axes)
Symmetry-distinct sites (fractional):
1 Ta 0.0000 0.0000 0.0000 x3
2 Nb 0.0039 0.2514 0.7520 x18
3 In 0.0000 0.0000 0.5000 x3

---

Which of them is the least stable? Correct choice: arrangement a.

---

Arrangement a

# TaNb3In

An optimized crystal structure of TaNb3In (GGA-PBE, Alexandria via LeMat-Bulk).

Unit cell a=4.9473 b=4.9473 c=4.9473 alpha=90.00 beta=90.00 gamma=90.00
Space group Pm-3m (No. 221)
Symmetry-distinct sites (fractional):
1 Ta 0.0000 0.0000 0.0000 x1
2 Nb 0.0000 0.5000 0.5000 x3
3 In 0.5000 0.5000 0.5000 x1

---

Arrangement b

# TaNb3In

An optimized crystal structure of TaNb3In (GGA-PBE, Alexandria via LeMat-Bulk).

Unit cell a=11.3709 b=8.5510 c=9.3534 alpha=90.00 beta=121.74 gamma=90.00
Space group C2/c (No. 15)
Symmetry-distinct sites (fractional):
1 Ta 0.1375 0.1849 0.3050 x8
2 Nb 0.0944 0.3286 0.5560 x8
3 Nb 0.1614 0.0093 0.5788 x8
4 Nb 0.1956 0.3506 0.0757 x8
5 In 0.0000 0.1381 0.7500 x4
6 In 0.0000 0.4958 0.2500 x4

---

Arrangement c

# TaNb3In

An optimized crystal structure of TaNb3In (GGA-PBE, Alexandria via LeMat-Bulk).

Unit cell a=4.9158 b=4.9158 c=4.9158 alpha=90.00 beta=90.00 gamma=90.00
Space group Pm-3m (No. 221)
Symmetry-distinct sites (fractional):
1 Ta 0.0000 0.0000 0.0000 x1
2 Nb 0.0000 0.0000 0.5000 x3
3 In 0.5000 0.5000 0.5000 x1

---

Which of them is the least stable? Correct choice: arrangement a.

---

Arrangement a

# NbInTc3

An optimized crystal structure of NbInTc3 (GGA-PBE, Alexandria via LeMat-Bulk).

Unit cell a=4.7564 b=4.7564 c=4.7564 alpha=90.00 beta=90.00 gamma=90.00
Space group Pm-3m (No. 221)
Symmetry-distinct sites (fractional):
1 Nb 0.0000 0.0000 0.0000 x1
2 In 0.5000 0.5000 0.5000 x1
3 Tc 0.0000 0.0000 0.5000 x3

---

Arrangement b

# NbInTc3

An optimized crystal structure of NbInTc3 (GGA-PBE, Alexandria via LeMat-Bulk).

Unit cell a=4.7373 b=4.7373 c=4.7373 alpha=90.00 beta=90.00 gamma=90.00
Space group Pm-3m (No. 221)
Symmetry-distinct sites (fractional):
1 Nb 0.0000 0.0000 0.0000 x1
2 In 0.5000 0.5000 0.5000 x1
3 Tc 0.0000 0.5000 0.5000 x3

---

Which of them is the least stable? Correct choice: arrangement b.

---

Arrangement a

# NbInTe3

An optimized crystal structure of NbInTe3 (GGA-PBE, Alexandria via LeMat-Bulk).

Unit cell a=18.3429 b=4.0243 c=7.9667 alpha=90.00 beta=98.98 gamma=90.00
Space group C2/m (No. 12)
Symmetry-distinct sites (fractional):
1 Nb 0.2042 0.0000 0.2367 x4
2 In 0.0471 0.5000 0.6749 x4
3 Te 0.0546 0.0000 0.2084 x4
4 Te 0.1746 0.5000 0.9774 x4
5 Te 0.1931 0.0000 0.6001 x4

---

Arrangement b

# NbInTe3

An optimized crystal structure of NbInTe3 (GGA-PBE, Alexandria via LeMat-Bulk).

Unit cell a=5.4873 b=5.4873 c=5.4873 alpha=90.00 beta=90.00 gamma=90.00
Space group Pm-3m (No. 221)
Symmetry-distinct sites (fractional):
1 Nb 0.0000 0.0000 0.0000 x1
2 In 0.5000 0.5000 0.5000 x1
3 Te 0.0000 0.0000 0.5000 x3

---

Arrangement c

# NbInTe3

An optimized crystal structure of NbInTe3 (GGA-PBE, Alexandria via LeMat-Bulk).

Unit cell a=5.5629 b=5.5629 c=5.5629 alpha=90.00 beta=90.00 gamma=90.00
Space group Pm-3m (No. 221)
Symmetry-distinct sites (fractional):
1 Nb 0.0000 0.0000 0.0000 x1
2 In 0.5000 0.5000 0.5000 x1
3 Te 0.0000 0.5000 0.5000 x3

---

Which of them is the least stable? Correct choice: arrangement c.